Sr2Ga7Pd: relaxed, PBE-GGA.

```
Sr2Ga7Pd
1.0
4.434 0.000 0.000
0.000 4.434 0.000
0.000 0.000 10.820
Sr Ga Pd
2 7 1
Direct
0.000 0.500 0.246
0.500 0.000 0.754
0.000 0.000 0.000
0.000 0.000 0.500
0.000 0.500 0.637
0.000 0.500 0.875
0.500 0.000 0.125
0.500 0.000 0.363
0.500 0.500 0.500
0.500 0.500 0.000
```

As for the formation energy: -0.5022 eV/atom.